Computed, not measured: NaV3As after structural relaxation at the PBE level of DFT.

ΔE to the lowest computed polymorph   0.0000 eV/atom
Total DFT energy (no corrections)   -5.815 eV/atom
SG   Pm-3m (221)
Formation energy   0.8499 eV/atom
DOS(E_F)   6.94 states/eV/cell

```
NaV3As
1.0
-3.1843 -1.9650 -3.1596
-2.7321 -1.5884 3.7413
-2.5259 4.1952 -0.0634
V Na As
3 1 1
direct
0.5000 0.0000 0.0000 V
0.0000 0.0000 0.5000 V
0.0000 0.5000 0.0000 V
0.5000 0.5000 0.5000 Na
0.0000 0.0000 0.0000 As
```

Computed, not measured: Cd2I3Br after structural relaxation at the PBE level of DFT.

ΔE to the lowest computed polymorph   0.0000 eV/atom
Total DFT energy (no corrections)   -1.998 eV/atom
SG   P-3m1 (164)
Formation energy without anion corrections   -0.6395 eV/atom
DOS(E_F)   0.00 states/eV/cell

```
Cd2I3Br
1.0
-1.5544 -6.3051 3.5158
-5.2188 -2.2494 -6.3412
8.2258 -2.1830 -0.2783
Br I Cd
2 6 4
direct
0.7966 0.6667 0.3333 Br
0.2034 0.3333 0.6667 Br
0.2366 0.8332 0.1668 I
0.2366 0.3337 0.1668 I
0.7634 0.6663 0.8332 I
0.2366 0.8332 0.6663 I
0.7634 0.1668 0.3337 I
0.7634 0.1668 0.8332 I
0.0000 0.5000 0.0000 Cd
0.0000 0.5000 0.5000 Cd
0.0000 0.0000 0.0000 Cd
0.0000 0.0000 0.5000 Cd
```

Computed, not measured: TaPtPb after structural relaxation at the PBE level of DFT.

Total DFT energy (no corrections)   -7.061 eV/atom
SG   F-43m (216)
Formation energy   0.1392 eV/atom
DOS(E_F)   3.87 states/eV/cell

```
TaPtPb
1.0
-3.5798 -2.7163 -0.5231
0.5181 -4.0927 -1.8570
-0.4156 -3.7115 2.5532
Ta Pb Pt
1 1 1
direct
0.0000 0.0000 0.0000 Ta
0.5000 0.5000 0.5000 Pb
0.7500 0.7500 0.7500 Pt
```

Computed, not measured: Mg2SBr after structural relaxation at the PBE level of DFT.

ΔE to the lowest computed polymorph   0.0000 eV/atom
Total DFT energy (no corrections)   -3.112 eV/atom
SG   I-42d (122)
Formation energy without anion corrections   -0.8643 eV/atom
DOS(E_F)   4.21 states/eV/cell

```
Mg2SBr
1.0
6.1618 0.0000 0.0000
0.0000 6.1618 0.0000
3.0809 3.0809 5.9906
Mg S Br
4 2 2
direct
0.5769 0.1250 0.2500 Mg
0.1731 0.6250 0.2500 Mg
0.3750 0.4231 0.7500 Mg
0.8750 0.8269 0.7500 Mg
0.5000 0.5000 0.0000 S
0.2500 0.7500 0.5000 S
0.7500 0.2500 0.5000 Br
0.0000 0.0000 0.0000 Br
```

Computed, not measured: Pa2Co4NiP3 after structural relaxation at the PBE level of DFT.

Total DFT energy (no corrections)   -7.821 eV/atom
SG   P-4m2 (115)
Formation energy   -0.8779 eV/atom
DOS(E_F)   5.69 states/eV/cell

```
Pa2Co4NiP3
1.0
-2.4266 2.9535 -0.1402
-2.5537 -2.0020 2.0252
3.7131 3.4343 8.0772
Co Ni P Pa
4 1 3 2
direct
0.5000 0.0000 0.6414 Co
0.5000 0.5000 0.0000 Co
0.0000 0.5000 0.3586 Co
0.0000 0.0000 0.0000 Co
0.5000 0.5000 0.5000 Ni
0.5000 0.0000 0.8725 P
0.0000 0.5000 0.1275 P
0.0000 0.0000 0.5000 P
0.0000 0.5000 0.7458 Pa
0.5000 0.0000 0.2542 Pa
```

Computed, not measured: Li2Al3Zn5 after structural relaxation at the PBE level of DFT.

Total DFT energy (no corrections)   -2.135 eV/atom
SG   Ibam (72)
Formation energy   0.0078 eV/atom
DOS(E_F)   7.86 states/eV/cell

```
Li2Al3Zn5
1.0
-3.6484 3.9730 -0.2350
-7.0328 -2.5408 4.2077
1.9047 5.7757 6.0527
Zn Li Al
10 4 6
direct
0.2500 0.5000 0.5000 Zn
0.7500 0.5000 0.5000 Zn
0.5050 0.7450 0.7450 Zn
0.4950 0.2550 0.2550 Zn
0.0050 0.7450 0.7450 Zn
0.1306 0.0176 0.7212 Zn
0.6306 0.7212 0.0176 Zn
0.3694 0.2788 0.9824 Zn
0.9950 0.2550 0.2550 Zn
0.8694 0.9824 0.2788 Zn
0.8717 0.3479 0.9087 Li
0.6283 0.0913 0.6521 Li
0.3717 0.9087 0.3479 Li
0.1283 0.6521 0.0913 Li
0.6092 0.5427 0.2389 Al
0.2500 0.0000 0.0000 Al
0.3908 0.4573 0.7611 Al
0.8908 0.7611 0.4573 Al
0.7500 0.0000 0.0000 Al
0.1092 0.2389 0.5427 Al
```